The following is a DFT calculation (GGA+U) of an optimized crystal structure of V3CuP6O24.

Summary:
Spin magnetization ... 0.057 μB/atom
Energy ... -241.9 eV/cell

a b c (Å): 8.726 8.726 8.726
angles (deg): 57.45 57.45 57.45
Site moments in Bohr magnetons follow the coordinates.
Sites, in units of the cell vectors:
V 0.857 0.857 0.857  -0.01
V 0.641 0.641 0.641  0.07
V 0.361 0.361 0.361  -0.01
Cu 0.145 0.145 0.145  0.94
P 0.253 0.527 0.967  0.00
P 0.967 0.253 0.527  0.00
P 0.527 0.967 0.253  0.00
P 0.469 0.032 0.752  0.00
P 0.032 0.752 0.469  0.00
P 0.752 0.469 0.032  0.00
O 0.683 0.513 0.877  0.02
O 0.513 0.877 0.683  0.02
O 0.051 0.693 0.968  0.00
O 0.877 0.683 0.513  0.02
O 0.403 0.605 0.769  0.02
O 0.273 0.341 0.972  0.12
O 0.968 0.051 0.693  0.00
O 0.769 0.403 0.605  0.02
O 0.605 0.769 0.403  0.02
O 0.661 0.013 0.743  0.00
O 0.310 0.012 0.948  0.10
O 0.013 0.743 0.661  0.00
O 0.972 0.273 0.341  0.12
O 0.693 0.968 0.051  0.00
O 0.341 0.972 0.273  0.12
O 0.411 0.231 0.590  0.00
O 0.231 0.590 0.411  0.00
O 0.012 0.948 0.310  0.10
O 0.743 0.661 0.013  0.00
O 0.590 0.411 0.231  0.00
O 0.133 0.293 0.501  0.00
O 0.948 0.310 0.012  0.10
O 0.501 0.133 0.293  0.00
O 0.293 0.501 0.133  0.00